No. 1
Below is a relaxed structure of Tb2TiAg, with properties calculated at the PBE-GGA level.

Geometry as POSCAR:
```
Tb2TiAg
1.0
-3.0171 0.1951 -2.1422
2.9170 -0.6681 -4.1693
-0.6057 -5.0812 0.3904
Tb Ag Ti
2 1 1
direct
0.0000 0.0000 0.5000
0.0000 0.5000 0.0000
0.5000 0.5000 0.5000
0.5000 0.0000 0.0000
```

Calculated values
Energy relative to the elements   0.18 eV/f.u.
Spin magnetization   2.32 μB/f.u.
Excess energy over the best structure of this formula in the dataset   69 meV per atom
Calculated volume   24.40 A^3/atom
Space-group type   No. 123

***

No. 2
Below is a relaxed structure of TbTiAg, with properties calculated at the PBE-GGA level.

Geometry as POSCAR:
```
TbTiAg
1.0
-1.6293 -3.9183 -3.1531
-2.0515 -4.3563 2.0415
-6.0361 0.3939 -1.8025
Ag Ti Tb
2 2 2
direct
0.7500 0.5000 0.5000
0.2500 0.5000 0.5000
0.8336 0.3329 0.0000
0.1664 0.6671 0.0000
0.6325 0.0000 0.7350
0.3675 0.0000 0.2650
```

Calculated values
Energy relative to the elements   0.46 eV/f.u.
Spin magnetization   0.07 μB/f.u.
Calculated volume   22.79 A^3/atom
Space-group type   No. 69

***

No. 3
Below is a relaxed structure of Tb2TiAg, with properties calculated at the PBE-GGA level.

Geometry as POSCAR:
```
Tb2TiAg
1.0
3.2219 0.0000 0.0000
1.6110 2.7903 0.0000
1.6110 0.9301 11.0738
Tb Ag Ti
2 1 1
direct
0.0889 0.0889 0.7334
0.9111 0.9111 0.2666
0.5000 0.5000 0.5000
0.0000 0.0000 0.0000
```

Calculated values
Energy relative to the elements   1.56 eV/f.u.
Spin magnetization   1.76 μB/f.u.
Excess energy over the best structure of this formula in the dataset   413 meV per atom
Calculated volume   24.89 A^3/atom
Space-group type   No. 166

***

No. 4
Below is a relaxed structure of TbTiTlAg, with properties calculated at the PBE-GGA level.

Geometry as POSCAR:
```
TbTiTlAg
1.0
-4.3529 -1.8489 1.7321
-0.5499 -4.9652 0.6404
-0.2460 -1.9279 4.6464
Tl Tb Ag Ti
1 1 1 1
direct
0.0000 0.0000 0.0000
0.7500 0.7500 0.7500
0.5000 0.5000 0.5000
0.2500 0.2500 0.2500
```

Calculated values
Energy relative to the elements   -0.21 eV/f.u.
Spin magnetization   1.48 μB/f.u.
Calculated volume   22.58 A^3/atom
Space-group type   No. 216

***

No. 5
Below is a relaxed structure of TbTlAg4, with properties calculated at the PBE-GGA level.

Geometry as POSCAR:
```
TbTlAg4
1.0
-5.2076 2.0990 0.4747
-3.8914 -2.7677 2.9913
-1.7626 2.0745 4.9336
Tl Tb Ag
1 1 4
direct
0.0000 0.0000 0.0000
0.2500 0.2500 0.2500
0.6249 0.6249 0.1254
0.6249 0.1254 0.6249
0.6249 0.6249 0.6249
0.1254 0.6249 0.6249
```

Calculated values
Energy relative to the elements   -1.00 eV/f.u.
Spin magnetization   0.00 μB/f.u.
Calculated volume   21.08 A^3/atom
Space-group type   No. 216

***

No. 6
Below is a relaxed structure of Tb8Tl2Ag, with properties calculated at the PBE-GGA level.

Geometry as POSCAR:
```
Tb8Tl2Ag
1.0
5.1874 0.0000 0.0000
0.0000 6.8032 0.3938
-2.5937 -2.3932 9.0835
Tb Tl Ag
8 2 1
direct
0.4088 0.5332 0.8175
0.6541 0.9806 0.3081
0.7960 0.6907 0.5919
0.9834 0.2344 0.9669
0.2040 0.3093 0.4081
0.3459 0.0194 0.6919
0.5912 0.4668 0.1825
0.0166 0.7656 0.0331
0.8130 0.2462 0.6261
0.1870 0.7538 0.3739
0.5000 0.0000 0.0000
```

Calculated values
Energy relative to the elements   -1.54 eV/f.u.
Spin magnetization   0.00 μB/f.u.
Calculated volume   29.59 A^3/atom
Space-group type   No. 12

***

No. 7
Below is a relaxed structure of Tb4Tl2Ag, with properties calculated at the PBE-GGA level.

Geometry as POSCAR:
```
Tb4Tl2Ag
1.0
-3.1072 -1.5503 -3.9481
-4.6116 -2.3046 1.0332
-6.3975 6.3700 -0.9676
Tl Tb Ag
2 4 1
direct
0.7523 0.7523 0.7432
0.2477 0.2477 0.2568
0.8750 0.8750 0.3751
0.1250 0.1250 0.6249
0.6243 0.6243 0.1271
0.3757 0.3757 0.8729
0.0000 0.0000 0.0000
```

Calculated values
Energy relative to the elements   -1.46 eV/f.u.
Spin magnetization   0.00 μB/f.u.
Excess energy over the best structure of this formula in the dataset   0 meV per atom
Calculated volume   29.27 A^3/atom
Space-group type   No. 166

***

No. 8
Below is a relaxed structure of TbTlAg2, with properties calculated at the PBE-GGA level.

Geometry as POSCAR:
```
TbTlAg2
1.0
3.7964 0.0000 0.0000
0.0000 3.7964 0.0000
0.0000 0.0000 6.5726
Tl Tb Ag
1 1 2
direct
0.5000 0.5000 0.5000
0.5000 0.5000 0.0000
0.0000 0.0000 0.7642
0.0000 0.0000 0.2358
```

Calculated values
Energy relative to the elements   -0.61 eV/f.u.
Spin magnetization   0.00 μB/f.u.
Excess energy over the best structure of this formula in the dataset   83 meV per atom
Calculated volume   23.68 A^3/atom
Space-group type   No. 123

***

No. 9
Below is a relaxed structure of Tb4TlAg5, with properties calculated at the PBE-GGA level.

Geometry as POSCAR:
```
Tb4TlAg5
1.0
3.6917 0.0000 0.0000
0.0000 3.6917 0.0000
0.0000 0.0000 17.6545
Tb Tl Ag
4 1 5
direct
0.0000 0.0000 0.1925
0.0000 0.0000 0.3970
0.0000 0.0000 0.6030
0.0000 0.0000 0.8075
0.0000 0.0000 0.0000
0.5000 0.5000 0.1003
0.5000 0.5000 0.2942
0.5000 0.5000 0.5000
0.5000 0.5000 0.7058
0.5000 0.5000 0.8997
```

Calculated values
Energy relative to the elements   -2.44 eV/f.u.
Spin magnetization   0.00 μB/f.u.
Calculated volume   24.06 A^3/atom
Space-group type   No. 123

***

No. 10
Below is a relaxed structure of Tb4Tl5Ag2, with properties calculated at the PBE-GGA level.

Geometry as POSCAR:
```
Tb4Tl5Ag2
1.0
3.6458 0.0000 0.0000
0.0000 8.2018 0.2348
0.0000 -0.5057 9.7853
Tb Tl Ag
4 5 2
direct
0.5000 0.7655 0.5963
0.5000 0.2112 0.8593
0.5000 0.2345 0.4037
0.5000 0.7888 0.1407
0.0000 0.5536 0.3416
0.0000 0.1328 0.1304
0.0000 0.5000 0.0000
0.0000 0.8672 0.8696
0.0000 0.4464 0.6584
0.0000 0.0803 0.6269
0.0000 0.9197 0.3731
```

Calculated values
Energy relative to the elements   -2.99 eV/f.u.
Spin magnetization   0.00 μB/f.u.
Calculated volume   26.64 A^3/atom
Space-group type   No. 10

***

Which VASP energy belongs to each record? In order, -4.956 -4.972 -4.612 -4.489 -3.234 -4.196 -3.937 -3.326 -3.758 -3.549 eV/atom.